# 1
Entry from the Alexandria database: crystalline Ca4PPb at its relaxed geometry (PBEsol).

Calculated values
For the final energy, the calculation gives -2.81 eV/atom. Its space group is F-43m.

Cell and atoms, written as POSCAR:
```
Ca4PPb
1.0
6.258 0.000 0.000
3.129 5.420 0.000
3.129 1.807 5.110
Ca P Pb
4 1 1
Cartesian
4.698 2.712 1.918
6.258 3.613 4.465
7.818 2.712 1.918
6.258 5.414 1.918
9.387 5.420 3.832
0.000 0.000 0.000
```

***

# 2
Entry from the Alexandria database: crystalline CaPPb3 at its relaxed geometry (PBEsol).

Calculated values
For the final energy, the calculation gives -2.87 eV/atom. Its space group is Pm-3m. The energy relative to the lowest polymorph listed for this composition comes out at 936 meV/atom.

Cell and atoms, written as POSCAR:
```
CaPPb3
1.0
-1.342 1.582 5.270
-2.369 -5.063 0.916
4.966 -1.988 1.861
Pb P Ca
3 1 1
Cartesian
-1.185 -2.531 0.458
2.483 -0.994 0.931
-0.671 0.791 2.635
0.627 -2.734 4.024
0.000 0.000 0.000
```

***

Summary of total moment in μB/f.u.
0.0 0.8
(order as listed above)
Summary of N(E_F) in states/eV/cell
6.292 7.199
(order as listed above)